Entry 1:
This record from the Alexandria database describes a relaxed structure of La2PrNdSm. The functional is GGA-PBE.

The structure in extended XYZ format:
```
10
Lattice="6.4928 0.0000 0.0000 0.0000 5.9976 0.0000 -3.2326 0.0000 9.3461" Properties=species:S:1:pos:R:3 pbc="T T T"
La -0.5340 1.4994 2.8283
La 0.5618 4.4982 0.9221
La 2.6983 1.4994 8.4240
La 3.7941 4.4982 6.5177
Pr 2.6963 1.4994 0.9519
Pr 0.5638 4.4982 8.3942
Nd -0.5361 1.4994 6.5184
Nd 3.7963 4.4982 2.8277
Sm 0.5710 4.4982 4.6636
Sm 2.6892 1.4994 4.6825
```

- energy relative to the elements (kJ/mol of formula units) = 16
- space-group type = No. 11

Entry 2:
This record from the Alexandria database describes a relaxed structure of La3PrNdSm. The functional is GGA-PBE.

The structure in extended XYZ format:
```
12
Lattice="10.5697 -2.9638 0.0000 10.5697 2.9638 0.0000 -0.0474 0.0000 6.9268" Properties=species:S:1:pos:R:3 pbc="T T T"
La 0.3553 0.0000 1.7459
La 5.9126 0.0000 1.6343
La 7.1720 0.0000 5.1597
La 13.9200 0.0000 1.7671
La 15.1795 0.0000 5.2925
La 20.7368 0.0000 5.1809
Pr 3.0814 0.0000 3.6567
Pr 18.0106 0.0000 3.2701
Nd 9.3224 0.0000 1.6719
Nd 11.7697 0.0000 5.2549
Sm 2.9868 0.0000 6.7870
Sm 18.1052 0.0000 0.1398
```

- energy relative to the elements (kJ/mol of formula units) = 78
- space-group type = No. 12

Entry 3:
This record from the Alexandria database describes a relaxed structure of La2Pr2Nd2Sm. The functional is GGA-PBE.

The structure in extended XYZ format:
```
14
Lattice="11.7142 0.0000 0.0000 0.0000 5.2434 0.0000 -1.1705 0.0000 8.1986" Properties=species:S:1:pos:R:3 pbc="T T T"
La 1.1704 0.0000 3.4997
La 3.5163 2.6217 4.6989
La 7.0275 2.6217 3.4997
La 9.3734 0.0000 4.6989
Pr 2.3541 2.6217 1.1578
Pr 2.3326 0.0000 7.0408
Pr 8.2112 0.0000 1.1578
Pr 8.1897 2.6217 7.0408
Nd -0.0119 2.6217 5.8686
Nd 4.6986 0.0000 2.3300
Nd 5.8452 0.0000 5.8686
Nd 10.5557 2.6217 2.3300
Sm 0.0000 0.0000 0.0000
Sm 5.8571 2.6217 0.0000
```

- energy relative to the elements (kJ/mol of formula units) = 11
- space-group type = No. 12

Entry 4:
This record from the Alexandria database describes a relaxed structure of LaPr3Nd2Sm6. The functional is GGA-PBE.

The structure in extended XYZ format:
```
12
Lattice="3.1848 -5.5185 0.0000 3.1848 5.5185 0.0000 -2.1295 0.0000 11.9407" Properties=species:S:1:pos:R:3 pbc="T T T"
La 0.0000 0.0000 0.0000
Pr 2.1201 3.6758 5.9703
Pr 2.1201 0.0000 5.9703
Pr 2.1201 -3.6758 5.9703
Nd 3.1848 1.8379 0.0000
Nd 3.1848 -1.8379 0.0000
Sm 1.0617 1.8425 2.9830
Sm -0.0008 0.0000 8.9536
Sm 1.0617 -1.8425 2.9830
Sm 3.1784 1.8425 8.9577
Sm 4.2409 0.0000 2.9871
Sm 3.1784 -1.8425 8.9577
```

- energy relative to the elements (kJ/mol of formula units) = 15
- space-group type = No. 12

Entry 5:
This record from the Alexandria database describes a relaxed structure of La2PrNdSm4. The functional is GGA-PBE.

The structure in extended XYZ format:
```
8
Lattice="6.3658 0.0000 0.0000 0.0000 3.6902 0.0000 -2.1707 0.0000 11.9605" Properties=species:S:1:pos:R:3 pbc="T T T"
La 0.0000 0.0000 0.0000
La -1.0854 1.8451 5.9802
Pr 2.0976 0.0000 5.9802
Nd 3.1829 1.8451 0.0000
Sm 1.0438 1.8451 2.9902
Sm -0.0307 0.0000 8.9800
Sm 4.2258 0.0000 2.9805
Sm 3.1513 1.8451 8.9703
```

- energy relative to the elements (kJ/mol of formula units) = 12
- space-group type = No. 10

Entry 6:
This record from the Alexandria database describes a relaxed structure of LaPrNd5Sm2. The functional is GGA-PBE.

The structure in extended XYZ format:
```
18
Lattice="-4.4790 4.4790 7.9888 4.4790 -4.4790 7.9888 4.4790 4.4790 -7.9888" Properties=species:S:1:pos:R:3 pbc="T T T"
La 0.0000 0.0000 3.9944
La 0.0000 0.0000 11.9832
Pr 4.4790 0.0000 3.9944
Pr 0.0000 4.4790 3.9944
Nd 0.0000 0.0000 0.0000
Nd 6.2948 1.8158 -2.1635
Nd 1.8158 2.6632 -2.1635
Nd 6.2948 1.8158 2.1635
Nd 1.8158 2.6632 2.1635
Nd 0.0000 0.0000 7.9888
Nd 2.6632 1.8158 5.8253
Nd -1.8158 2.6632 5.8253
Nd 2.6632 1.8158 10.1523
Nd -1.8158 2.6632 10.1523
Sm 3.4217 1.0573 0.0000
Sm 3.4217 -1.0573 7.9888
Sm 1.0573 5.5363 0.0000
Sm 1.0573 3.4217 7.9888
```

- energy relative to the elements (kJ/mol of formula units) = 214
- space-group type = No. 140

Entry 7:
This record from the Alexandria database describes a relaxed structure of LaPrNd2Sm2. The functional is GGA-PBE.

The structure in extended XYZ format:
```
12
Lattice="6.7742 0.0000 0.0000 0.0000 18.2942 0.0000 0.0000 0.0000 3.4675" Properties=species:S:1:pos:R:3 pbc="T T T"
La 0.0000 0.0000 0.0000
La 3.3871 9.1471 1.7338
Pr 0.0000 9.1471 0.0000
Pr 3.3871 0.0000 1.7338
Nd 1.5262 3.3605 0.0000
Nd 1.8608 12.5076 1.7338
Nd 4.9133 5.7865 1.7338
Nd 5.2479 14.9336 0.0000
Sm 1.4956 6.3952 1.7338
Sm 1.8915 15.5422 0.0000
Sm 4.8827 2.7519 0.0000
Sm 5.2786 11.8990 1.7338
```

- energy relative to the elements (kJ/mol of formula units) = 138
- space-group type = No. 58

Entry 8:
This record from the Alexandria database describes a relaxed structure of La3Pr6NdSm2. The functional is GGA-PBE.

The structure in extended XYZ format:
```
12
Lattice="3.2122 -5.5675 0.0000 3.2122 5.5675 0.0000 -2.1708 0.0000 12.0943" Properties=species:S:1:pos:R:3 pbc="T T T"
La 0.0000 0.0000 0.0000
La 3.2122 1.8594 0.0000
La 3.2122 -1.8594 0.0000
Pr 1.0615 1.8591 3.0599
Pr -0.0239 0.0000 9.0345
Pr 1.0615 -1.8591 3.0599
Pr 3.1921 1.8591 9.0344
Pr 4.2774 0.0000 3.0598
Pr 3.1921 -1.8591 9.0344
Nd 2.1268 0.0000 6.0472
Sm 2.1268 3.7112 6.0472
Sm 2.1268 -3.7112 6.0472
```

- energy relative to the elements (kJ/mol of formula units) = 17
- space-group type = No. 12